Compound: Y2ZrTlC
Source: Alexandria
Functional: PBE-GGA
Structure: relaxed

Lattice parameters (Å, degrees): 4.837 5.038 4.837 90.00 90.00 90.00
Last column: magnetic moment on the atom in μB.
Positions (direct):
Y: 0.500 0.000 0.000  0.17
Y: 0.000 0.000 0.500  0.18
C: 0.000 0.000 0.000  -0.03
Zr: 0.500 0.500 0.500  0.85
Tl: 0.000 0.500 0.000  -0.02

Properties
* mass density: 6.84 Mg/m³
* ΔE to the lowest computed polymorph: 0.7477 eV per atom

Compound: AgSn5Te6
Source: Alexandria
Functional: PBE-GGA
Structure: relaxed

Lattice parameters (Å, degrees): 7.697 7.709 7.714 60.02 80.35 70.40
Positions (direct):
Sn: 0.000 0.664 0.672
Ag: 0.000 0.000 0.000
Te: 0.756 0.406 0.675
Sn: 0.500 0.500 0.000
Te: 0.244 0.594 0.325
Te: 0.246 0.242 0.000
Sn: 0.500 0.172 0.655
Te: 0.756 0.081 0.325
Te: 0.244 0.919 0.675
Sn: 0.500 0.828 0.345
Sn: 0.000 0.336 0.328
Te: 0.754 0.758 0.000

Properties
* mass density: 6.52 Mg/m³

Compound: CeZr2Ru
Source: Alexandria
Functional: PBE-GGA
Structure: relaxed

Lattice parameters (Å, degrees): 3.287 3.287 7.958 90.00 90.00 90.00
Last column: magnetic moment on the atom in μB.
Positions (direct):
Ce: 0.500 0.500 0.500  0.12
Zr: 0.000 0.000 0.203  0.01
Zr: 0.000 0.000 0.797  0.01
Ru: 0.500 0.500 0.000  0.00

Properties
* mass density: 8.18 Mg/m³
* ΔE to the lowest computed polymorph: 0.0000 eV per atom

Compound: RbSr3Pt
Source: Alexandria
Functional: PBE-GGA
Structure: relaxed

Lattice parameters (Å, degrees): 6.083 6.083 6.083 90.00 90.00 90.00
Last column: magnetic moment on the atom in μB.
Positions (direct):
Sr: 0.000 0.500 0.000  0.19
Sr: 0.500 0.000 0.000  0.12
Sr: 0.000 0.000 0.500  0.26
Rb: 0.000 0.000 0.000  0.21
Pt: 0.500 0.500 0.500  -0.01

Properties
* mass density: 4.01 Mg/m³
* ΔE to the lowest computed polymorph: 1.6527 eV per atom

Compound: MgCr2H2
Source: Alexandria
Functional: PBE-GGA
Structure: relaxed

Lattice parameters (Å, degrees): 3.192 3.192 5.141 71.91 71.91 90.00
Positions (direct):
Cr: 0.322 0.322 0.355
H: 0.750 0.250 0.500
H: 0.250 0.750 0.500
Cr: 0.678 0.678 0.645
Mg: 0.000 0.000 0.000

Properties
* mass density: 4.60 Mg/m³

Compound: PmSiHIr2
Source: Alexandria
Functional: PBE-GGA
Structure: relaxed

Lattice parameters (Å, degrees): 3.893 5.749 7.135 90.00 90.00 109.79
Positions (direct):
Ir: 0.838 0.676 0.445
Ir: 0.162 0.324 0.555
H: 0.000 0.000 0.000
Si: 0.722 0.444 0.750
Pm: 0.443 0.885 0.750
Ir: 0.838 0.676 0.055
Pm: 0.557 0.115 0.250
Si: 0.278 0.556 0.250
Ir: 0.162 0.324 0.945
H: 0.000 0.000 0.500

Properties
* mass density: 12.34 Mg/m³

Compound: Pr2Pa2Pt15
Source: Alexandria
Functional: PBE-GGA
Structure: relaxed

Lattice parameters (Å, degrees): 7.155 7.155 7.155 81.68 81.68 81.68
Positions (direct):
Pt: 0.308 0.692 0.000
Pt: 0.844 0.345 0.345
Pt: 0.692 0.308 0.000
Pt: 0.345 0.345 0.844
Pt: 0.655 0.655 0.156
Pt: 0.000 0.000 0.500
Pt: 0.000 0.308 0.692
Pt: 0.692 0.000 0.308
Pr: 0.642 0.642 0.642
Pt: 0.000 0.500 0.000
Pt: 0.345 0.844 0.345
Pa: 0.898 0.898 0.898
Pt: 0.500 0.000 0.000
Pt: 0.000 0.692 0.308
Pr: 0.358 0.358 0.358
Pa: 0.102 0.102 0.102
Pt: 0.655 0.156 0.655
Pt: 0.156 0.655 0.655
Pt: 0.308 0.000 0.692

Properties
* mass density: 17.14 Mg/m³

Compound: TcNiP2Se
Source: Alexandria
Functional: PBE-GGA
Structure: relaxed

Lattice parameters (Å, degrees): 8.465 3.312 5.753 90.00 103.24 90.00
Positions (direct):
Ni: 0.121 0.500 0.505
P: 0.970 0.000 0.286
Se: 0.307 0.500 0.900
Tc: 0.793 0.500 0.394
Ni: 0.121 0.000 0.005
P: 0.609 0.000 0.165
P: 0.970 0.500 0.786
Tc: 0.793 0.000 0.894
Se: 0.307 0.000 0.400
P: 0.609 0.500 0.665

Properties
* mass density: 6.30 Mg/m³
* ΔE to the lowest computed polymorph: 0.0569 eV per atom

Compound: GdSnP2
Source: Alexandria
Functional: PBE-GGA
Structure: relaxed

Lattice parameters (Å, degrees): 3.829 3.829 8.777 77.40 77.40 60.00
Last column: magnetic moment on the atom in μB.
Positions (direct):
P: 0.893 0.893 0.322  0.00
Gd: 0.000 0.000 0.000  7.25
P: 0.107 0.107 0.678  0.00
Sn: 0.500 0.500 0.500  0.02

Properties
* mass density: 5.20 Mg/m³

Compound: Pm2YGa6
Source: Alexandria
Functional: PBE-GGA
Structure: relaxed

Lattice parameters (Å, degrees): 4.381 7.952 7.952 52.90 74.01 74.01
Positions (direct):
Ga: 0.000 0.809 0.191
Ga: 0.179 0.132 0.509
Pm: 0.371 0.129 0.129
Pm: 0.629 0.871 0.871
Y: 0.500 0.500 0.500
Ga: 0.821 0.868 0.491
Ga: 0.000 0.191 0.809
Ga: 0.179 0.509 0.132
Ga: 0.821 0.491 0.868

Properties
* mass density: 6.30 Mg/m³
* ΔE to the lowest computed polymorph: 0.2280 eV per atom

Compound: FeAg3I
Source: Alexandria
Functional: PBE-GGA
Structure: relaxed

Lattice parameters (Å, degrees): 5.024 5.024 5.024 90.00 90.00 90.00
Last column: magnetic moment on the atom in μB.
Positions (direct):
Fe: 0.000 0.000 0.000  2.83
Ag: 0.500 0.000 0.000  -0.03
Ag: 0.000 0.500 0.000  -0.01
Ag: 0.000 0.000 0.500  0.05
I: 0.500 0.500 0.500  -0.01

Properties
* mass density: 6.63 Mg/m³
* ΔE to the lowest computed polymorph: 0.0000 eV per atom

Compound: Y4AgRu3
Source: Alexandria
Functional: PBE-GGA
Structure: relaxed

Lattice parameters (Å, degrees): 4.883 6.973 9.765 90.00 90.00 90.00
Positions (direct):
Y: 0.000 0.761 0.250
Y: 0.000 0.239 0.750
Y: 0.500 0.761 0.500
Ru: 0.000 0.000 0.000
Ag: 0.000 0.500 0.500
Y: 0.500 0.239 0.500
Ru: 0.500 0.500 0.750
Ru: 0.500 0.000 0.250
Ag: 0.000 0.500 0.000
Y: 0.500 0.239 0.000
Ru: 0.500 0.500 0.250
Y: 0.500 0.761 0.000
Ru: 0.500 0.000 0.750
Ru: 0.000 0.000 0.500
Y: 0.000 0.239 0.250
Y: 0.000 0.761 0.750

Properties
* mass density: 7.66 Mg/m³

Compound: DyNi10B3
Source: Alexandria
Functional: PBE-GGA
Structure: relaxed

Lattice parameters (Å, degrees): 7.535 7.535 7.535 60.00 60.00 60.00
Positions (direct):
Ni: 0.334 0.666 0.000
Ni: 0.388 0.388 0.388
Ni: 0.000 0.334 0.000
B: 0.730 0.270 0.730
Ni: 0.666 0.000 0.000
Ni: 0.388 0.388 0.836
Ni: 0.666 0.000 0.334
Ni: 0.836 0.388 0.388
B: 0.270 0.270 0.730
Ni: 0.000 0.334 0.666
Ni: 0.334 0.000 0.000
Ni: 0.666 0.334 0.000
B: 0.270 0.730 0.270
Ni: 0.612 0.612 0.612
Ni: 0.612 0.612 0.164
Dy: 0.750 0.750 0.750
Ni: 0.334 0.000 0.666
Ni: 0.612 0.164 0.612
Ni: 0.000 0.000 0.666
B: 0.730 0.270 0.270
Ni: 0.164 0.612 0.612
Ni: 0.000 0.000 0.334
Dy: 0.250 0.250 0.250
Ni: 0.000 0.666 0.334
B: 0.730 0.730 0.270
Ni: 0.388 0.836 0.388
Ni: 0.000 0.666 0.000
B: 0.270 0.730 0.730

Properties
* mass density: 8.58 Mg/m³

Compound: Cr2ReTc
Source: Alexandria
Functional: PBE-GGA
Structure: relaxed

Lattice parameters (Å, degrees): 2.616 2.616 8.364 90.00 90.00 109.97
Positions (direct):
Cr: 0.000 0.000 0.999
Re: 0.500 0.500 0.250
Cr: 0.000 0.000 0.501
Tc: 0.500 0.500 0.750

Properties
* mass density: 11.99 Mg/m³

Compound: Cu2BiRuSe
Source: Alexandria
Functional: PBE-GGA
Structure: relaxed

Lattice parameters (Å, degrees): 4.867 4.508 4.867 90.00 90.00 90.00
Positions (direct):
Bi: 0.500 0.500 0.500
Ru: 0.000 0.000 0.000
Se: 0.000 0.500 0.000
Cu: 0.000 0.000 0.500
Cu: 0.500 0.000 0.000

Properties
* mass density: 8.02 Mg/m³

Compound: Pm6AsP2Se3
Source: Alexandria
Functional: PBE-GGA
Structure: relaxed

Lattice parameters (Å, degrees): 4.167 8.414 9.397 103.76 102.81 90.00
Positions (direct):
Se: 0.500 0.500 0.000
Pm: 0.994 0.753 0.989
Pm: 0.672 0.573 0.343
P: 0.833 0.666 0.666
P: 0.167 0.334 0.334
As: 0.500 0.000 0.000
Pm: 0.006 0.247 0.011
Pm: 0.328 0.427 0.657
Pm: 0.666 0.098 0.332
Se: 0.165 0.833 0.331
Pm: 0.334 0.902 0.668
Se: 0.835 0.167 0.669

Properties
* mass density: 6.63 Mg/m³

Compound: Na2Hg2Cl5
Source: Alexandria
Functional: PBE-GGA
Structure: relaxed

Lattice parameters (Å, degrees): 7.145 7.424 10.760 110.18 109.39 90.00
Positions (direct):
Cl: 0.091 0.676 0.500
Na: 0.364 0.913 0.756
Cl: 0.163 0.184 0.891
Cl: 0.722 0.774 0.751
Cl: 0.471 0.523 0.249
Cl: 0.772 0.793 0.109
Na: 0.892 0.413 0.756
Cl: 0.278 0.023 0.249
Hg: 0.258 0.340 0.500
Cl: 0.909 0.176 0.500
Cl: 0.837 0.293 0.109
Na: 0.636 0.157 0.244
Na: 0.108 0.657 0.244
Cl: 0.529 0.274 0.751
Cl: 0.228 0.684 0.891
Hg: 0.500 0.477 0.000
Hg: 0.742 0.840 0.500
Hg: 0.000 0.977 0.000

Properties
* mass density: 4.14 Mg/m³

Compound: Na2Pt
Source: Alexandria
Functional: PBE-GGA
Structure: relaxed

Lattice parameters (Å, degrees): 7.772 7.772 7.772 157.78 157.78 31.63
Positions (direct):
Na: 0.969 0.969 0.000
Pt: 0.333 0.333 0.000
Na: 0.698 0.698 0.000

Properties
* mass density: 5.97 Mg/m³

Compound: Mg2AlRh
Source: Alexandria
Functional: PBE-GGA
Structure: relaxed

Lattice parameters (Å, degrees): 9.093 9.093 9.093 19.00 19.00 19.00
Last column: magnetic moment on the atom in μB.
Positions (direct):
Mg: 0.507 0.507 0.507  0.00
Mg: 0.993 0.993 0.993  0.00
Al: 0.750 0.750 0.750  0.00
Rh: 0.250 0.250 0.250  0.23

Properties
* mass density: 4.25 Mg/m³

Compound: Ba2YRu
Source: Alexandria
Functional: PBE-GGA
Structure: relaxed

Lattice parameters (Å, degrees): 3.690 3.690 10.640 90.00 90.00 90.01
Last column: magnetic moment on the atom in μB.
Positions (direct):
Ru: 0.000 0.000 0.536  0.11
Ba: 0.500 0.500 0.337  0.03
Ba: 0.000 0.000 0.966  0.13
Y: 0.500 0.500 0.661  0.03

Properties
* mass density: 5.33 Mg/m³
* ΔE to the lowest computed polymorph: 0.0421 eV per atom

no.,energy (eV per formula unit)
1,-31.537
2,-44.548
3,-33.232
4,-5.650
5,-26.778
6,-34.852
7,-132.449
8,-31.618
9,-28.398
10,-38.153
11,-14.455
12,-59.248
13,-86.740
14,-41.563
15,-21.596
16,-75.710
17,-21.476
18,-8.752
19,-14.942
20,-19.005